# 1
# CaHg5Pt PBE optimized geometry
data_CaHg5Pt
_chemical_formula_sum 'Ca1 Hg5 Pt1'
_cell_length_a 4.9166
_cell_length_b 4.9166
_cell_length_c 7.1344
_cell_angle_alpha 90.00
_cell_angle_beta 90.00
_cell_angle_gamma 90.00
_symmetry_space_group_name_H-M 'P 4/m m m'
_symmetry_Int_Tables_number 123
_symmetry_space_group_name_Hall '-P 4 2'
loop_
_atom_site_label
_atom_site_type_symbol
_atom_site_fract_x
_atom_site_fract_y
_atom_site_fract_z
Ca1 Ca 0.0000 0.0000 0.0000
Hg1 Hg 0.0000 0.5000 0.2901
Hg2 Hg 0.5000 0.5000 0.0000
Pt1 Pt 0.0000 0.0000 0.5000
# Total magnetization   0.00 μB/f.u.
# Energy   -1.62 eV/atom
# E_form   -0.25 eV/atom

=====

# 2
# CaHg2Pt PBE optimized geometry
data_CaHg2Pt
_chemical_formula_sum 'Ca1 Hg2 Pt1'
_cell_length_a 4.2681
_cell_length_b 4.3406
_cell_length_c 4.7597
_cell_angle_alpha 90.00
_cell_angle_beta 90.00
_cell_angle_gamma 90.00
_symmetry_space_group_name_H-M 'P m m m'
_symmetry_Int_Tables_number 47
loop_
_symmetry_equiv_pos_as_xyz
'x,y,z'
'-x,-y,-z'
'-x,-y,z'
'x,y,-z'
'x,-y,-z'
'-x,y,z'
'-x,y,-z'
'x,-y,z'
loop_
_atom_site_label
_atom_site_type_symbol
_atom_site_fract_x
_atom_site_fract_y
_atom_site_fract_z
Ca1 Ca 0.0000 0.0000 0.0000
Hg1 Hg 0.0000 0.5000 0.5000
Hg2 Hg 0.5000 0.0000 0.5000
Pt1 Pt 0.5000 0.5000 0.0000
# Total magnetization   0.00 μB/f.u.
# Energy   -2.52 eV/atom
# E_form   -0.36 eV/atom

=====

# 3
# CaHg2Pt PBE optimized geometry
data_CaHg2Pt
_chemical_formula_sum 'Ca1 Hg2 Pt1'
_cell_length_a 3.5566
_cell_length_b 3.5566
_cell_length_c 7.1680
_cell_angle_alpha 90.00
_cell_angle_beta 90.00
_cell_angle_gamma 90.00
_symmetry_space_group_name_H-M 'P 4 m m'
_symmetry_Int_Tables_number 99
loop_
_symmetry_equiv_pos_as_xyz
'x,y,z'
'-y,x,z'
'-x,-y,z'
'y,-x,z'
'-x,y,z'
'y,x,z'
'x,-y,z'
'-y,-x,z'
loop_
_atom_site_label
_atom_site_type_symbol
_atom_site_fract_x
_atom_site_fract_y
_atom_site_fract_z
Ca1 Ca 0.0000 0.0000 0.0000
Hg1 Hg 0.0000 0.0000 0.5621
Hg2 Hg 0.5000 0.5000 0.2965
Pt1 Pt 0.5000 0.5000 0.7692
# Total magnetization   0.00 μB/f.u.
# Energy   -2.53 eV/atom
# E_form   -0.37 eV/atom

=====

| no. | calculated volume (Å³ per cell) |
| --- | --- |
| 1 | 172 |
| 2 | 88 |
| 3 | 91 |